(1)
Entry from the Alexandria database: InCo2Tc after structural relaxation (PBE).

```
InCo2Tc
1.0
5.1394 0.0029 0.0007
2.4263 4.5306 -0.0007
-3.2595 -3.1401 2.4349
Co In Tc
2 1 1
Cartesian
0.0722 0.0433 0.0000
1.3467 1.7519 1.2171
3.7128 2.2248 0.0000
2.9573 -0.3597 1.2178
```

Summary:
- Fermi-level density of states: 4.49 states/eV/cell
- Symmetry: Imm2
- Calculated formation energy: 0.29 eV/atom
- Mass density: 9.69 g/cm3

(2)
Entry from the Alexandria database: Zr3BiH after structural relaxation (PBE).

```
Zr3BiH
1.0
-19.0184 -7.2449 3.1231
-6.0050 1.1495 -0.6775
5.5163 -1.2100 -2.4385
Zr H Bi
6 2 2
Cartesian
-20.7165 -6.9335 1.7865
-8.1997 -3.8631 -0.2360
1.2095 -0.3719 -1.7794
-10.1518 -6.3281 0.1179
-11.3073 -3.4423 0.2431
-9.3553 -0.9772 -0.1109
-22.4626 -5.8148 2.0386
2.9555 -1.4905 -2.0315
-18.5931 -4.5473 1.4071
-0.9139 -2.7580 -1.4001
```

Summary:
- E_tot: -66.2 eV for the cell shown
- Fermi-level density of states: 10.21 states/eV/cell
- Symmetry: C2/m
- Mass density: 7.84 g/cm3

Question: The highest Fermi-level density of states belongs to which entry?
Answer: Zr3BiH